Density functional theory data (GGA-PBE) for InRuSe2 after structural relaxation.

CIF file:
```
data_InRuSe2
_chemical_formula_sum 'In2 Ru2 Se4'
_cell_length_a 3.061
_cell_length_b 4.405
_cell_length_c 12.339
_cell_angle_alpha 90.00
_cell_angle_beta 90.00
_cell_angle_gamma 90.00
_space_group_name_H-M_alt 'I m m 2'
_space_group_IT_number 44
loop_
_space_group_symop_operation_xyz
'x,y,z'
'-x,-y,z'
'-x,y,z'
'x,-y,z'
'x+1/2,y+1/2,z+1/2'
'-x+1/2,-y+1/2,z+1/2'
'-x+1/2,y+1/2,z+1/2'
'x+1/2,-y+1/2,z+1/2'
loop_
_atom_site_label
_atom_site_fract_x
_atom_site_fract_y
_atom_site_fract_z
In1 0.000 0.000 0.000
Ru1 0.000 0.500 0.708
Se1 0.000 0.000 0.366
Se2 0.000 0.500 0.170
```

Output
final energy	-4.704	eV/atom
DOS at the Fermi energy	2.2	states/eV/f.u.
total magnetic moment	0.0	μB per formula unit